The following is a DFT calculation (PBE) of crystalline Mn2IrPt at its relaxed geometry.

Unit cell a=2.818 b=2.818 c=25.314 alpha=90.00 beta=90.00 gamma=120.00
Positions (direct):
Mn (0.000, 0.000, 0.248)
Mn (0.000, 0.000, 0.752)
Mn (0.333, 0.667, 0.419)
Mn (0.333, 0.667, 0.915)
Mn (0.667, 0.333, 0.085)
Mn (0.667, 0.333, 0.581)
Ir (0.000, 0.000, 0.500)
Ir (0.333, 0.667, 0.167)
Ir (0.667, 0.333, 0.833)
Pt (0.000, 0.000, 0.000)
Pt (0.333, 0.667, 0.667)
Pt (0.667, 0.333, 0.333)

Output
DFT total energy, eV per cell: -100.696
SG: No. 166
ρ, g cm⁻³: 14.2
Formation energy from the elements, eV/atom: -0.0811
Volume, Å³/atom: 14.51
Offset from the most stable computed form, meV per atom: 166.9